{"formula": "LiLaIr2", "functional": "PBE-GGA", "state": "optimized geometry", "density_g_cm3": 11.976, "e_tot_ev_per_atom": -6.22, "m_tot_mub_per_fu": 1.0, "lattice_angstrom": [[-0.740, -0.013, -4.644], [-3.266, -2.831, -1.852], [-3.966, 1.818, -1.753]], "species": ["La", "Li", "Ir", "Ir"], "frac_coords": [[0.500, 0.500, 0.500], [0.750, 0.750, 0.750], [0.250, 0.250, 0.250], [0.000, 0.000, 0.000]]}